1.
LaNb2Rh2 | SCAN | single point on PBEsol structure

The calculation puts the spin magnetization at 0.000 μB/atom. The calculation puts the density of states at the Fermi level at 6.18 states/eV/cell. As for the crystal system: tetragonal. As for the calculated volume: 207.2 Å³/cell. The energy of formation from the pure elements is -194 meV/atom.

Unit cell a=4.6529 b=4.6529 c=9.5696 alpha=90.00 beta=90.00 gamma=90.00
Closest atoms and distances in Å follow each position.
Space group I4/mmm (No. 139)
One atom of each set of equivalent atoms:
La: 0.0000 0.0000 0.0000 x2  8 Rh 3.34, 10 Nb 3.45-3.55
Nb: 0.0000 0.0000 0.3610 x4  4 Rh 2.56, 1 Nb 2.66
Rh: 0.0000 0.5000 0.2500 x4  4 Nb 2.56

=====

2.
LaNbRu | SCAN | single point on PBEsol structure

The calculation puts the spin magnetization at 0.000 μB/atom. The calculation puts the density of states at the Fermi level at 5.90 states/eV/cell. As for the crystal system: tetragonal. As for the calculated volume: 134.2 Å³/cell. The energy of formation from the pure elements is -266 meV/atom.

Unit cell a=4.5315 b=4.5315 c=6.5376 alpha=90.00 beta=90.00 gamma=90.00
Closest atoms and distances in Å follow each position.
Space group P4/nmm (No. 129, origin choice 2)
One atom of each set of equivalent atoms:
La: 0.2500 0.2500 0.1345 x2  1 Ru 2.92
Nb: 0.2500 0.7500 0.5000 x2  4 Ru 2.58
Ru: 0.2500 0.2500 0.6874 x2  4 Nb 2.58

=====

3.
LaNbRu3 | SCAN | single point on PBEsol structure

The calculation puts the spin magnetization at 0.000 μB/atom. The calculation puts the density of states at the Fermi level at 3.98 states/eV/cell. As for the crystal system: cubic. As for the calculated volume: 104.6 Å³/cell. The energy of formation from the pure elements is 601 meV/atom.

Unit cell a=4.7119 b=4.7119 c=4.7119 alpha=90.00 beta=90.00 gamma=90.00
Closest atoms and distances in Å follow each position.
Space group Pm-3m (No. 221)
One atom of each set of equivalent atoms:
La: 0.0000 0.0000 0.0000 x1  12 Ru 3.33
Nb: 0.5000 0.5000 0.5000 x1  6 Ru 2.36
Ru: 0.0000 0.5000 0.5000 x3  2 Nb 2.36

=====

4.
LaNbS3 | SCAN | single point on PBEsol structure

The calculation puts the spin magnetization at 0.396 μB/atom. Its raw formation energy is 53 meV/atom. The calculation puts the density of states at the Fermi level at 6.62 states/eV/cell. As for the crystal system: cubic. As for the calculated volume: 148.7 Å³/cell.

Unit cell a=5.2984 b=5.2984 c=5.2984 alpha=90.00 beta=90.00 gamma=90.00
Closest atoms and distances in Å follow each position.
Space group Pm-3m (No. 221)
One atom of each set of equivalent atoms:
La: 0.0000 0.0000 0.0000 x1  6 S 2.65
Nb: 0.5000 0.5000 0.5000 x1  12 S 3.75
S: 0.0000 0.0000 0.5000 x3  2 La 2.65

=====

5.
LaNbSb3 | SCAN | single point on PBEsol structure

The calculation puts the spin magnetization at 0.594 μB/atom. Its raw formation energy is 1208 meV/atom. The calculation puts the density of states at the Fermi level at 5.48 states/eV/cell. As for the crystal system: cubic. As for the calculated volume: 192.0 Å³/cell.

Unit cell a=5.7692 b=5.7692 c=5.7692 alpha=90.00 beta=90.00 gamma=90.00
Closest atoms and distances in Å follow each position.
Space group Pm-3m (No. 221)
One atom of each set of equivalent atoms:
La: 0.0000 0.0000 0.0000 x1  6 Sb 2.88
Nb: 0.5000 0.5000 0.5000 x1  12 Sb 4.08
Sb: 0.0000 0.0000 0.5000 x3  2 La 2.88

=====

6.
La3NbSb5 | SCAN | single point on PBEsol structure

The calculation puts the spin magnetization at 0.000 μB/atom. Its raw formation energy is -1026 meV/atom. The calculation puts the density of states at the Fermi level at 7.67 states/eV/cell. As for the crystal system: hexagonal. As for the calculated volume: 478.9 Å³/cell.

Unit cell a=9.4495 b=9.4495 c=6.1930 alpha=90.00 beta=90.00 gamma=120.00
Closest atoms and distances in Å follow each position.
Space group P6_3/mcm (No. 193)
One atom of each set of equivalent atoms:
La: 0.0000 0.3821 0.2500 x6  9 Sb 3.19-3.40
Nb: 0.0000 0.0000 0.0000 x2  6 Sb 2.89, 2 Nb 3.10
Sb: 0.0000 0.2578 0.7500 x6  2 Nb 2.89, 2 La 3.19
Sb: 0.3333 0.6667 0.0000 x4  2 Sb 3.10, 6 La 3.33

=====

> What is the formula in the fourth record?

LaNbS3